YC2S after structural relaxation. Source: Alexandria via LeMat-Bulk, functional PBEsol. Values from VASP.

spin magnetization	0.00	μB/cell
raw total energy	-7.006	eV/atom
symmetry	I-42d (122)
Fermi-level density of states	0.75	states/eV/f.u.

Cell and atoms, written as Quantum ESPRESSO input:
```
&SYSTEM
  ibrav = 0, nat = 16, ntyp = 3
/
ATOMIC_SPECIES
Y 88.91 Y.upf
C 12.01 C.upf
S 32.06 S.upf
CELL_PARAMETERS angstrom
5.526 0.000 0.000
0.000 5.526 0.000
0.000 0.000 6.240
ATOMIC_POSITIONS crystal
Y 0.000 0.000 0.000
Y 0.000 0.500 0.250
Y 0.500 0.000 0.750
Y 0.500 0.500 0.500
C 0.143 0.750 0.625
C 0.250 0.143 0.375
C 0.250 0.357 0.875
C 0.357 0.750 0.125
C 0.643 0.250 0.125
C 0.750 0.643 0.875
C 0.750 0.857 0.375
C 0.857 0.250 0.625
S 0.000 0.000 0.500
S 0.000 0.500 0.750
S 0.500 0.000 0.250
S 0.500 0.500 0.000
```